# Li2CaRe

A relaxed Li2CaRe crystal (PBE, Alexandria).

The structure in POSCAR format:
```
Li2CaRe
1.0
6.663 0.000 0.000
0.000 6.663 0.000
0.000 0.000 6.663
Li Ca Re
8 4 4
Direct
0.250 0.250 0.250 Li
0.250 0.250 0.750 Li
0.250 0.750 0.250 Li
0.250 0.750 0.750 Li
0.750 0.250 0.250 Li
0.750 0.250 0.750 Li
0.750 0.750 0.250 Li
0.750 0.750 0.750 Li
0.000 0.000 0.000 Ca
0.000 0.500 0.500 Ca
0.500 0.000 0.500 Ca
0.500 0.500 0.000 Ca
0.000 0.000 0.500 Re
0.000 0.500 0.000 Re
0.500 0.000 0.000 Re
0.500 0.500 0.500 Re
```

Values from the calculation:
- N(E_F): 4.39 states/eV/f.u.
- DFT formation energy: 0.79 eV per atom
- Relative energy among the computed polymorphs: 315 meV/atom